(1)
Entry from Alexandria: a relaxed TbY2Tm12 crystal (PBE).

Values from the calculation:
calculated total energy: -4.63 eV per atom
spin magnetization: 0.00 μB per formula unit
E_form: 0.12 eV per atom

Structure (CIF):
```
data_TbY2Tm12
_chemical_formula_sum 'Tb2 Y4 Tm24'
_cell_length_a 6.5304
_cell_length_b 6.5304
_cell_length_c 23.9936
_cell_angle_alpha 92.25
_cell_angle_beta 92.25
_cell_angle_gamma 114.52
_symmetry_space_group_name_H-M 'P 1'
_symmetry_Int_Tables_number 1
loop_
_symmetry_equiv_pos_as_xyz
'x,y,z'
loop_
_atom_site_label
_atom_site_fract_x
_atom_site_fract_y
_atom_site_fract_z
_atom_site_occupancy
Tb1 0.2499 0.2499 0.0001 1
Tb2 0.7501 0.7501 0.9999 1
Y1 0.0679 0.0679 0.2718 1
Y2 0.4310 0.4310 0.7282 1
Y3 0.5690 0.5690 0.2718 1
Y4 0.9321 0.9321 0.7282 1
Tm1 0.0505 0.5509 0.2016 1
Tm2 0.0842 0.5829 0.3314 1
Tm3 0.1389 0.6373 0.5545 1
Tm4 0.1423 0.1423 0.5742 1
Tm5 0.2143 0.2143 0.8628 1
Tm6 0.2306 0.7305 0.9251 1
Tm7 0.2695 0.7694 0.0749 1
Tm8 0.2856 0.2856 0.1374 1
Tm9 0.3564 0.3564 0.4269 1
Tm10 0.3627 0.8611 0.4455 1
Tm11 0.4171 0.9158 0.6686 1
Tm12 0.4491 0.9495 0.7984 1
Tm13 0.5509 0.0505 0.2016 1
Tm14 0.5829 0.0842 0.3314 1
Tm15 0.6373 0.1389 0.5545 1
Tm16 0.6436 0.6436 0.5731 1
Tm17 0.7144 0.7144 0.8626 1
Tm18 0.7305 0.2306 0.9251 1
Tm19 0.7694 0.2695 0.0749 1
Tm20 0.7857 0.7857 0.1372 1
Tm21 0.8577 0.8577 0.4258 1
Tm22 0.8611 0.3627 0.4455 1
Tm23 0.9158 0.4171 0.6686 1
Tm24 0.9495 0.4491 0.7984 1
```

(2)
Entry from Alexandria: a relaxed Tb2YTm8 crystal (PBE).

Values from the calculation:
calculated total energy: -4.52 eV per atom
spin magnetization: 0.00 μB per formula unit
E_form: 0.16 eV per atom
polymorph energy (0 for the lowest one): 0 meV per atom

Structure (CIF):
```
data_Tb2YTm8
_chemical_formula_sum 'Tb2 Y1 Tm8'
_cell_length_a 9.4433
_cell_length_b 9.4433
_cell_length_c 5.8378
_cell_angle_alpha 107.00
_cell_angle_beta 107.00
_cell_angle_gamma 122.70
_symmetry_space_group_name_H-M 'P 1'
_symmetry_Int_Tables_number 1
loop_
_symmetry_equiv_pos_as_xyz
'x,y,z'
loop_
_atom_site_label
_atom_site_fract_x
_atom_site_fract_y
_atom_site_fract_z
_atom_site_occupancy
Tb1 0.1898 0.8102 0.0000 1
Tb2 0.8102 0.1898 0.0000 1
Y1 0.5000 0.5000 0.5000 1
Tm1 0.0419 0.0419 0.2797 1
Tm2 0.1499 0.4023 0.7927 1
Tm3 0.2975 0.7025 0.5000 1
Tm4 0.4023 0.1499 0.7927 1
Tm5 0.5977 0.8501 0.2073 1
Tm6 0.7025 0.2975 0.5000 1
Tm7 0.8501 0.5977 0.2073 1
Tm8 0.9581 0.9581 0.7203 1
```

What is the E_form in the first record? 0.12 eV per atom

Copy entry 2 word for word.
Entry from Alexandria: a relaxed Tb2YTm8 crystal (PBE).

Values from the calculation:
calculated total energy: -4.52 eV per atom
spin magnetization: 0.00 μB per formula unit
E_form: 0.16 eV per atom
polymorph energy (0 for the lowest one): 0 meV per atom

Structure (CIF):
```
data_Tb2YTm8
_chemical_formula_sum 'Tb2 Y1 Tm8'
_cell_length_a 9.4433
_cell_length_b 9.4433
_cell_length_c 5.8378
_cell_angle_alpha 107.00
_cell_angle_beta 107.00
_cell_angle_gamma 122.70
_symmetry_space_group_name_H-M 'P 1'
_symmetry_Int_Tables_number 1
loop_
_symmetry_equiv_pos_as_xyz
'x,y,z'
loop_
_atom_site_label
_atom_site_fract_x
_atom_site_fract_y
_atom_site_fract_z
_atom_site_occupancy
Tb1 0.1898 0.8102 0.0000 1
Tb2 0.8102 0.1898 0.0000 1
Y1 0.5000 0.5000 0.5000 1
Tm1 0.0419 0.0419 0.2797 1
Tm2 0.1499 0.4023 0.7927 1
Tm3 0.2975 0.7025 0.5000 1
Tm4 0.4023 0.1499 0.7927 1
Tm5 0.5977 0.8501 0.2073 1
Tm6 0.7025 0.2975 0.5000 1
Tm7 0.8501 0.5977 0.2073 1
Tm8 0.9581 0.9581 0.7203 1
```

Among the records above, which one has the lowest E_form? TbY2Tm12

E_form of number 1 (TbY2Tm12)? 0.12 eV per atom